{
  "formula": "DyY2Pd2PtPb3",
  "functional": "PBE-GGA",
  "state": "optimized geometry",
  "lattice_angstrom": [[3.937, 0.000, 0.000], [0.000, 6.745, 3.901], [0.000, -6.745, 3.901]],
  "species": ["Pd", "Pt", "Pb", "Y", "Pd", "Y", "Pb", "Dy", "Pb"],
  "frac_coords": [[0.500, 0.667, 0.335], [0.000, 0.999, 0.999], [0.500, 0.000, 0.732], [0.000, 0.000, 0.398], [0.500, 0.335, 0.667], [0.000, 0.398, 0.000], [0.500, 0.268, 0.268], [0.000, 0.602, 0.602], [0.500, 0.732, 0.000]],
  "volume_a3_per_cell": 207.2,
  "energy_ev_per_atom": -5.7586,
  "magnetic_moment_mub_per_cell": 0.01
}

{
  "formula": "ZrGeBi",
  "functional": "PBE-GGA",
  "state": "optimized geometry",
  "lattice_angstrom": [[4.511, -1.317, 1.029], [1.788, 0.775, 4.398], [0.808, -3.708, 2.956]],
  "species": ["Zr", "Bi", "Ge"],
  "frac_coords": [[0.750, 0.750, 0.750], [0.250, 0.250, 0.250], [0.000, 0.000, 0.000]],
  "volume_a3_per_cell": 78.7,
  "energy_ev_per_atom": -5.5520,
  "magnetic_moment_mub_per_cell": 0.00
}

{
  "formula": "TmLuCo2Te2",
  "functional": "PBE-GGA",
  "state": "optimized geometry",
  "lattice_angstrom": [[-2.958, 6.289, 5.383], [0.358, -2.750, 3.410], [13.143, 0.721, -0.798]],
  "species": ["Tm", "Co", "Te", "Tm", "Te", "Co", "Co", "Lu", "Tm", "Co", "Tm", "Lu", "Te", "Lu", "Co", "Te", "Te", "Te", "Lu", "Co", "Te", "Te", "Co", "Co"],
  "frac_coords": [[0.313, 0.000, 0.125], [0.375, 0.500, 0.251], [0.563, 0.500, 0.125], [0.063, 0.000, 0.625], [0.938, 0.000, 0.375], [0.500, 0.000, 0.999], [0.126, 0.500, 0.750], [0.437, 0.500, 0.875], [0.937, 0.500, 0.875], [0.000, 0.000, 0.000], [0.812, 0.000, 0.125], [0.562, 0.000, 0.625], [0.313, 0.500, 0.625], [0.687, 0.500, 0.375], [0.251, 0.000, 0.500], [0.063, 0.500, 0.126], [0.188, 0.000, 0.875], [0.811, 0.500, 0.624], [0.188, 0.500, 0.375], [0.749, 0.000, 0.500], [0.686, 0.000, 0.874], [0.438, 0.000, 0.376], [0.875, 0.500, 0.251], [0.624, 0.500, 0.749]],
  "volume_a3_per_cell": 480.4,
  "energy_ev_per_atom": -5.6457,
  "magnetic_moment_mub_per_cell": 0.01
}

{
  "formula": "TbGd2Cu4Sn2Ge2",
  "functional": "PBE-GGA",
  "state": "optimized geometry",
  "lattice_angstrom": [[-2.163, 3.467, 7.210], [2.163, -3.467, 7.210], [2.163, 3.467, -7.210]],
  "species": ["Ge", "Cu", "Cu", "Cu", "Tb", "Sn", "Sn", "Gd", "Gd", "Ge", "Cu"],
  "frac_coords": [[0.784, 0.784, 0.000], [0.363, 0.676, 0.687], [0.989, 0.676, 0.313], [0.011, 0.324, 0.687], [0.000, 0.000, 0.000], [0.702, 0.500, 0.202], [0.298, 0.500, 0.798], [0.636, 0.136, 0.500], [0.364, 0.864, 0.500], [0.216, 0.216, 0.000], [0.637, 0.324, 0.313]],
  "volume_a3_per_cell": 216.2,
  "energy_ev_per_atom": -4.7204,
  "magnetic_moment_mub_per_cell": 0.00,
  "de_polymorph_mev_per_atom": 68.8
}

{
  "formula": "ErTm4Lu2Ni2Te2",
  "functional": "PBE-GGA",
  "state": "optimized geometry",
  "lattice_angstrom": [[0.347, -7.327, -5.566], [-6.726, 0.398, 6.275], [4.141, 1.803, -8.024]],
  "species": ["Te", "Tm", "Ni", "Ni", "Tm", "Tm", "Lu", "Te", "Tm", "Er", "Lu"],
  "frac_coords": [[0.339, 0.339, 0.000], [0.448, 0.582, 0.865], [0.833, 0.069, 0.764], [0.305, 0.069, 0.236], [0.717, 0.582, 0.135], [0.376, 0.729, 0.647], [0.062, 0.377, 0.685], [0.734, 0.234, 0.500], [0.083, 0.729, 0.353], [0.000, 0.000, 0.000], [0.691, 0.377, 0.315]],
  "volume_a3_per_cell": 276.7,
  "energy_ev_per_atom": -5.1328,
  "magnetic_moment_mub_per_cell": 0.02,
  "de_polymorph_mev_per_atom": 0.0
}

{
  "formula": "RbPrAsO",
  "functional": "PBE-GGA",
  "state": "optimized geometry",
  "lattice_angstrom": [[6.145, 0.000, 0.000], [0.000, 6.145, 0.000], [0.000, 0.000, 5.351]],
  "species": ["As", "Rb", "Pr", "Rb", "As", "Pr", "O", "O"],
  "frac_coords": [[0.500, 0.000, 0.507], [0.000, 0.500, 0.994], [0.000, 0.000, 0.500], [0.500, 0.000, 0.006], [0.000, 0.500, 0.493], [0.500, 0.500, 0.500], [0.000, 0.000, 0.000], [0.500, 0.500, 0.000]],
  "volume_a3_per_cell": 202.1,
  "energy_ev_per_atom": -4.7692,
  "magnetic_moment_mub_per_cell": 0.01,
  "de_polymorph_mev_per_atom": 515.2
}

{
  "formula": "Ta4Nb2Al3C3",
  "functional": "PBE-GGA",
  "state": "optimized geometry",
  "lattice_angstrom": [[4.663, -2.692, 0.000], [4.663, 2.692, 0.000], [-3.109, 0.000, 13.932]],
  "species": ["Ta", "Ta", "Nb", "Nb", "C", "Al", "Ta", "Ta", "Al", "C", "Ta", "C", "Al", "Ta", "Al", "Ta", "C", "Nb", "Ta", "C", "Nb", "Al", "Al", "C"],
  "frac_coords": [[0.862, 0.697, 0.089], [0.697, 0.862, 0.589], [0.635, 0.470, 0.409], [0.365, 0.530, 0.591], [0.669, 0.163, 0.500], [0.920, 0.080, 0.250], [0.028, 0.198, 0.589], [0.972, 0.802, 0.411], [0.080, 0.920, 0.750], [0.500, 0.000, 0.000], [0.138, 0.303, 0.911], [0.331, 0.837, 0.500], [0.753, 0.583, 0.750], [0.303, 0.138, 0.411], [0.247, 0.417, 0.250], [0.198, 0.028, 0.089], [0.837, 0.331, 0.000], [0.470, 0.635, 0.909], [0.802, 0.972, 0.911], [0.000, 0.500, 0.500], [0.530, 0.365, 0.091], [0.417, 0.247, 0.750], [0.583, 0.753, 0.250], [0.163, 0.669, 0.000]],
  "volume_a3_per_cell": 349.8,
  "energy_ev_per_atom": -9.4017,
  "magnetic_moment_mub_per_cell": 0.00
}

{
  "formula": "NbHgB",
  "functional": "PBE-GGA",
  "state": "optimized geometry",
  "lattice_angstrom": [[0.000, 3.037, 3.037], [3.037, 0.000, 3.037], [3.037, 3.037, 0.000]],
  "species": ["Hg", "B", "Nb"],
  "frac_coords": [[0.750, 0.750, 0.750], [0.250, 0.250, 0.250], [0.000, 0.000, 0.000]],
  "volume_a3_per_cell": 56.0,
  "energy_ev_per_atom": -4.4064,
  "magnetic_moment_mub_per_cell": 0.02,
  "de_polymorph_mev_per_atom": 712.0
}